Compound: NiHgRhAu
Source: Alexandria via LeMat-Bulk
Functional: PBE
Structure: optimized geometry

a b c (Å): 6.3682 6.3682 6.3682
angles (deg): 90.00 90.00 90.00
Last column: nearest neighbours and their distance in Å.
Space group F-43m (No. 216)
One atom of each set of equivalent atoms:
Ni (0.0000, 0.0000, 0.0000) [4 per cell]  4 Hg 2.76, 4 Au 2.76
Hg (0.2500, 0.2500, 0.2500) [4 per cell]  4 Rh 2.76, 4 Ni 2.76
Rh (0.0000, 0.0000, 0.5000) [4 per cell]  4 Au 2.76, 4 Hg 2.76
Au (0.2500, 0.2500, 0.7500) [4 per cell]  4 Ni 2.76, 4 Rh 2.76

## Properties
uncorrected energy: -63.42 eV for the cell shown
theoretical density: 14.38 g cm⁻³
calculated volume: 16.14 A^3/atom
formation energy from the elements: 0.21 eV/atom